(1)
Compound: Tm3Si3Os2
Source: OQMD via LeMat-Bulk
Functional: PBE
Structure: relaxed

- Uncorrected energy: -0.5383 Ry/atom

abc: 5.6748 5.6748 13.5528
angles: 90.00 90.00 136.94
Fractional coordinates of all 16 atoms:
1 Os 0.7876 0.2124 0.0825
2 Os 0.7876 0.2124 0.4175
3 Os 0.2124 0.7876 0.5825
4 Os 0.2124 0.7876 0.9175
5 Si 0.3850 0.6150 0.0381
6 Si 0.6715 0.3285 0.2500
7 Si 0.3850 0.6150 0.4619
8 Si 0.6150 0.3850 0.5381
9 Si 0.3285 0.6715 0.7500
10 Si 0.6150 0.3850 0.9619
11 Tm 0.0754 0.9246 0.1156
12 Tm 0.3576 0.6424 0.2500
13 Tm 0.0754 0.9246 0.3844
14 Tm 0.9246 0.0754 0.6156
15 Tm 0.6424 0.3576 0.7500
16 Tm 0.9246 0.0754 0.8844

***

(2)
Compound: FeSn3
Source: OQMD via LeMat-Bulk
Functional: PBE
Structure: relaxed

- Uncorrected energy: -0.3394 Ry/atom

abc: 5.0855 5.0855 5.0855
angles: 60.00 60.00 60.00
Fractional coordinates of all 4 atoms:
1 Fe 0.7500 0.7500 0.7500
2 Sn 0.0000 0.0000 0.0000
3 Sn 0.2500 0.2500 0.2500
4 Sn 0.5000 0.5000 0.5000

***

(3)
Compound: Ho3ErSc2As2Os
Source: OQMD via LeMat-Bulk
Functional: PBE
Structure: relaxed

- Uncorrected energy: -0.4806 Ry/atom

abc: 4.0992 7.6179 7.6179
angles: 119.86 90.00 90.00
Fractional coordinates of all 9 atoms:
1 As 0.0000 0.6642 0.3261
2 As 0.0000 0.3261 0.6642
3 Er 0.0000 0.7632 0.7632
4 Ho 0.5000 0.5906 0.0007
5 Ho 0.5000 0.4000 0.4000
6 Ho 0.5000 0.0007 0.5906
7 Os 0.5000 0.0171 0.0171
8 Sc 0.0000 0.9978 0.2403
9 Sc 0.0000 0.2403 0.9978

***

(4)
Compound: K2Ag2GeSe4
Source: OQMD via LeMat-Bulk
Functional: PBE
Structure: relaxed

- Uncorrected energy: -0.2618 Ry/atom

abc: 7.4344 6.0086 12.3562
angles: 90.00 114.55 90.00
Fractional coordinates of all 18 atoms:
1 Ag 0.9989 0.7501 0.0306
2 Ag 0.0011 0.7501 0.4694
3 Ag 0.9989 0.2499 0.5306
4 Ag 0.0011 0.2499 0.9694
5 Ge 0.0000 0.2488 0.2500
6 Ge 0.0000 0.7512 0.7500
7 K 0.5000 0.0000 0.0000
8 K 0.5000 0.5226 0.2500
9 K 0.5000 0.0000 0.5000
10 K 0.5000 0.4774 0.7500
11 Se 0.7758 0.4601 0.0827
12 Se 0.2245 0.0412 0.1935
13 Se 0.7755 0.0412 0.3065
14 Se 0.2242 0.4601 0.4173
15 Se 0.7758 0.5399 0.5827
16 Se 0.2245 0.9588 0.6935
17 Se 0.7755 0.9588 0.8065
18 Se 0.2242 0.5399 0.9173

***

(5)
Compound: CsPaAg
Source: OQMD via LeMat-Bulk
Functional: PBE
Structure: relaxed

- Uncorrected energy: -0.2192 Ry/atom

abc: 5.0635 5.0635 5.0635
angles: 60.00 60.00 60.00
Fractional coordinates of all 3 atoms:
1 Ag 0.2500 0.2500 0.2500
2 Cs 0.7500 0.7500 0.7500
3 Pa 0.0000 0.0000 0.0000

***

(6)
Compound: FeSbAs
Source: OQMD via LeMat-Bulk
Functional: PBE
Structure: relaxed

- Uncorrected energy: -0.4276 Ry/atom

abc: 3.0458 5.5465 6.2548
angles: 90.00 90.00 90.00
Fractional coordinates of all 6 atoms:
1 As 0.5000 0.0581 0.1511
2 As 0.0000 0.9419 0.6511
3 Fe 0.5000 0.2262 0.4999
4 Fe 0.0000 0.7738 0.9999
5 Sb 0.0000 0.5708 0.3650
6 Sb 0.5000 0.4292 0.8650

***

(7)
Compound: HoErGa2Fe4
Source: OQMD via LeMat-Bulk
Functional: PBE
Structure: relaxed

- Uncorrected energy: -0.4582 Ry/atom

abc: 4.1821 4.1821 9.2161
angles: 90.00 90.00 120.00
Fractional coordinates of all 8 atoms:
1 Er 0.0000 0.0000 0.5000
2 Fe 0.0000 0.0000 0.2075
3 Fe 0.3333 0.6667 0.2942
4 Fe 0.3333 0.6667 0.7058
5 Fe 0.0000 0.0000 0.7925
6 Ga 0.6667 0.3333 0.2506
7 Ga 0.6667 0.3333 0.7494
8 Ho 0.3333 0.6667 0.0000

***

(8)
Compound: AgW
Source: OQMD via LeMat-Bulk
Functional: PBE
Structure: relaxed

- Formation energy from the elements: 61 kJ per mole of atoms

abc: 2.7909 2.7909 4.9045
angles: 90.00 90.00 120.00
Fractional coordinates of all 2 atoms:
1 Ag 0.6667 0.3333 0.7500
2 W 0.3333 0.6667 0.2500

***

(9)
Compound: Cu2NiGe
Source: OQMD via LeMat-Bulk
Functional: PBE
Structure: relaxed

- Uncorrected energy: -0.3294 Ry/atom

abc: 4.1072 4.1072 4.1072
angles: 60.00 60.00 60.00
Fractional coordinates of all 4 atoms:
1 Cu 0.0000 0.0000 0.0000
2 Cu 0.7500 0.7500 0.7500
3 Ge 0.5000 0.5000 0.5000
4 Ni 0.2500 0.2500 0.2500

***

(10)
Compound: SrYZnTe3
Source: OQMD via LeMat-Bulk
Functional: PBE
Structure: relaxed

- Uncorrected energy: -0.3101 Ry/atom

abc: 7.9594 7.9594 11.2111
angles: 90.00 90.00 148.56
Fractional coordinates of all 12 atoms:
1 Sr 0.7657 0.2343 0.2500
2 Sr 0.2343 0.7657 0.7500
3 Te 0.3601 0.6399 0.0599
4 Te 0.0900 0.9100 0.2500
5 Te 0.3601 0.6399 0.4401
6 Te 0.6399 0.3601 0.5599
7 Te 0.9100 0.0900 0.7500
8 Te 0.6399 0.3601 0.9401
9 Y 0.0000 0.0000 0.0000
10 Y 0.0000 0.0000 0.5000
11 Zn 0.4738 0.5262 0.2500
12 Zn 0.5262 0.4738 0.7500

***

(11)
Compound: ZnCu2Sb
Source: OQMD via LeMat-Bulk
Functional: PBE
Structure: relaxed

- Uncorrected energy: -0.2250 Ry/atom

abc: 6.3645 6.3645 6.3645
angles: 90.00 90.00 90.00
Fractional coordinates of all 16 atoms:
1 Cu 0.2776 0.2776 0.2776
2 Cu 0.7224 0.2776 0.2776
3 Cu 0.2776 0.7224 0.2776
4 Cu 0.7224 0.7224 0.2776
5 Cu 0.2776 0.2776 0.7224
6 Cu 0.7224 0.2776 0.7224
7 Cu 0.2776 0.7224 0.7224
8 Cu 0.7224 0.7224 0.7224
9 Sb 0.0000 0.0000 0.0000
10 Sb 0.5000 0.0000 0.0000
11 Sb 0.0000 0.5000 0.0000
12 Sb 0.0000 0.0000 0.5000
13 Zn 0.5000 0.5000 0.0000
14 Zn 0.5000 0.0000 0.5000
15 Zn 0.0000 0.5000 0.5000
16 Zn 0.5000 0.5000 0.5000

***

(12)
Compound: NaZrHg2Br6
Source: OQMD via LeMat-Bulk
Functional: PBE
Structure: relaxed

- Uncorrected energy: -0.2184 Ry/atom

abc: 7.8366 7.8366 7.8366
angles: 60.00 60.00 60.00
Fractional coordinates of all 10 atoms:
1 Br 0.7623 0.2377 0.2377
2 Br 0.2377 0.7623 0.2377
3 Br 0.7623 0.7623 0.2377
4 Br 0.2377 0.2377 0.7623
5 Br 0.7623 0.2377 0.7623
6 Br 0.2377 0.7623 0.7623
7 Hg 0.2500 0.2500 0.2500
8 Hg 0.7500 0.7500 0.7500
9 Na 0.5000 0.5000 0.5000
10 Zr 0.0000 0.0000 0.0000

***

(13)
Compound: Sm3BeCd
Source: OQMD via LeMat-Bulk
Functional: PBE
Structure: relaxed

- Uncorrected energy: -0.2591 Ry/atom

abc: 5.2924 5.2924 5.2924
angles: 90.00 90.00 90.00
Fractional coordinates of all 5 atoms:
1 Be 0.0000 0.0000 0.0000
2 Cd 0.5000 0.5000 0.5000
3 Sm 0.5000 0.0000 0.0000
4 Sm 0.0000 0.5000 0.0000
5 Sm 0.0000 0.0000 0.5000

***

(14)
Compound: NaTbCoSe3
Source: OQMD via LeMat-Bulk
Functional: PBE
Structure: relaxed

- Uncorrected energy: -0.3674 Ry/atom

abc: 7.0368 7.0368 10.7797
angles: 90.00 90.00 33.03
Fractional coordinates of all 12 atoms:
1 Co 0.4732 0.4732 0.2500
2 Co 0.5268 0.5268 0.7500
3 Na 0.7552 0.7552 0.2500
4 Na 0.2448 0.2448 0.7500
5 Se 0.3626 0.3626 0.0770
6 Se 0.0795 0.0795 0.2500
7 Se 0.3626 0.3626 0.4230
8 Se 0.6374 0.6374 0.5770
9 Se 0.9205 0.9205 0.7500
10 Se 0.6374 0.6374 0.9230
11 Tb 0.0000 0.0000 0.0000
12 Tb 0.0000 0.0000 0.5000

***

(15)
Compound: Dy4SnC2S
Source: OQMD via LeMat-Bulk
Functional: PBE
Structure: relaxed

- Uncorrected energy: -0.4790 Ry/atom

abc: 3.6671 3.6671 14.3814
angles: 90.00 90.00 120.00
Fractional coordinates of all 8 atoms:
1 C 0.6667 0.3333 0.2261
2 C 0.6667 0.3333 0.7739
3 Dy 0.3333 0.6667 0.1309
4 Dy 0.0000 0.0000 0.3177
5 Dy 0.0000 0.0000 0.6823
6 Dy 0.3333 0.6667 0.8691
7 S 0.0000 0.0000 0.0000
8 Sn 0.3333 0.6667 0.5000

***

(16)
Compound: DyY2Al
Source: OQMD via LeMat-Bulk
Functional: PBE
Structure: relaxed

- Uncorrected energy: -0.4036 Ry/atom

abc: 5.0280 6.7593 6.7593
angles: 103.71 90.00 90.00
Fractional coordinates of all 8 atoms:
1 Al 0.2500 0.4258 0.0759
2 Al 0.7500 0.0759 0.4258
3 Dy 0.7500 0.5647 0.3442
4 Dy 0.2500 0.3442 0.5647
5 Y 0.2500 0.9344 0.1564
6 Y 0.2500 0.8695 0.6290
7 Y 0.7500 0.6290 0.8695
8 Y 0.7500 0.1564 0.9344

***

(17)
Compound: HfGaCo2
Source: OQMD via LeMat-Bulk
Functional: PBE
Structure: relaxed

- Uncorrected energy: -0.5222 Ry/atom

abc: 5.2501 6.6410 6.4884
angles: 90.00 90.00 90.00
Fractional coordinates of all 16 atoms:
1 Co 0.5872 0.5440 0.1880
2 Co 0.5872 0.9560 0.1880
3 Co 0.0872 0.0440 0.3120
4 Co 0.0872 0.4560 0.3120
5 Co 0.9128 0.5440 0.6880
6 Co 0.9128 0.9560 0.6880
7 Co 0.4128 0.0440 0.8120
8 Co 0.4128 0.4560 0.8120
9 Ga 0.3485 0.2500 0.1101
10 Ga 0.8485 0.7500 0.3899
11 Ga 0.1515 0.2500 0.6101
12 Ga 0.6515 0.7500 0.8899
13 Hf 0.1537 0.7500 0.0249
14 Hf 0.6537 0.2500 0.4751
15 Hf 0.3463 0.7500 0.5249
16 Hf 0.8463 0.2500 0.9751

***

(18)
Compound: LiBePd2
Source: OQMD via LeMat-Bulk
Functional: PBE
Structure: relaxed

- Uncorrected energy: -0.3341 Ry/atom

abc: 5.7714 5.7463 5.7733
angles: 90.00 90.00 90.00
Fractional coordinates of all 16 atoms:
1 Be 0.4999 0.2500 0.0000
2 Be 0.5001 0.7500 0.0000
3 Be 0.9999 0.7500 0.5000
4 Be 0.0001 0.2500 0.5000
5 Li 0.0000 0.2500 0.0000
6 Li 0.0000 0.7500 0.0000
7 Li 0.5001 0.7500 0.5000
8 Li 0.4999 0.2500 0.5000
9 Pd 0.7499 0.0000 0.2498
10 Pd 0.7499 0.5000 0.2498
11 Pd 0.2499 0.0000 0.2502
12 Pd 0.2499 0.5000 0.2502
13 Pd 0.7501 0.0000 0.7498
14 Pd 0.7501 0.5000 0.7498
15 Pd 0.2501 0.0000 0.7502
16 Pd 0.2501 0.5000 0.7502

***

(19)
Compound: USiIr
Source: OQMD via LeMat-Bulk
Functional: PBE
Structure: relaxed

- Uncorrected energy: -0.6033 Ry/atom

abc: 4.5194 4.5194 4.5194
angles: 60.00 60.00 60.00
Fractional coordinates of all 3 atoms:
1 Ir 0.2500 0.2500 0.2500
2 Si 0.7500 0.7500 0.7500
3 U 0.0000 0.0000 0.0000

***

(20)
Compound: MgTc2B
Source: OQMD via LeMat-Bulk
Functional: PBE
Structure: relaxed

- Uncorrected energy: -0.5037 Ry/atom

abc: 4.1733 4.1733 4.1733
angles: 60.00 60.00 60.00
Fractional coordinates of all 4 atoms:
1 B 0.5000 0.5000 0.5000
2 Mg 0.2500 0.2500 0.2500
3 Tc 0.0000 0.0000 0.0000
4 Tc 0.7500 0.7500 0.7500

***

(21)
Compound: LuCdAg
Source: OQMD via LeMat-Bulk
Functional: PBE
Structure: relaxed

- Formation energy from the elements: 18 kJ per mole of atoms

abc: 4.8306 4.8306 4.8306
angles: 60.00 60.00 60.00
Fractional coordinates of all 3 atoms:
1 Ag 0.2500 0.2500 0.2500
2 Cd 0.7500 0.7500 0.7500
3 Lu 0.0000 0.0000 0.0000

***

(22)
Compound: ScTaS4
Source: OQMD via LeMat-Bulk
Functional: PBE
Structure: relaxed

- Uncorrected energy: -0.5088 Ry/atom

abc: 3.4693 7.2398 7.2398
angles: 130.74 90.00 90.00
Fractional coordinates of all 6 atoms:
1 S 0.0000 0.4678 0.2351
2 S 0.0000 0.2351 0.4678
3 S 0.5000 0.9370 0.6973
4 S 0.5000 0.6973 0.9370
5 Sc 0.0000 0.9992 0.9992
6 Ta 0.5000 0.5115 0.5115

***

(23)
Compound: CsScZnS3
Source: OQMD via LeMat-Bulk
Functional: PBE
Structure: relaxed

- Uncorrected energy: -0.3594 Ry/atom

abc: 9.0643 3.8872 9.8267
angles: 90.00 113.49 90.00
Fractional coordinates of all 12 atoms:
1 Cs 0.7232 0.2500 0.2461
2 Cs 0.2768 0.7500 0.7539
3 S 0.3651 0.7500 0.1400
4 S 0.9808 0.7500 0.1460
5 S 0.2996 0.2500 0.4475
6 S 0.7004 0.7500 0.5525
7 S 0.0192 0.2500 0.8540
8 S 0.6349 0.2500 0.8600
9 Sc 0.1643 0.2500 0.1319
10 Sc 0.8357 0.7500 0.8681
11 Zn 0.4131 0.7500 0.3876
12 Zn 0.5869 0.2500 0.6124

***

(24)
Compound: Na2GdTe2
Source: OQMD via LeMat-Bulk
Functional: PBE
Structure: relaxed

- Uncorrected energy: -0.2644 Ry/atom

abc: 9.5434 9.5434 9.5434
angles: 143.42 143.06 52.97
Fractional coordinates of all 10 atoms:
1 Gd 0.4239 0.1739 0.2500
2 Gd 0.5761 0.8261 0.7500
3 Na 0.7850 0.5350 0.2500
4 Na 0.9551 0.7051 0.2500
5 Na 0.0449 0.2949 0.7500
6 Na 0.2150 0.4650 0.7500
7 Te 0.6045 0.3545 0.2500
8 Te 0.1338 0.8838 0.2500
9 Te 0.8662 0.1162 0.7500
10 Te 0.3955 0.6455 0.7500